No. 1
Material: ZnSb
Method: DFT, PBE
State: optimized geometry

a = 6.4906 Å, b = 8.3783 Å, c = 7.7504 Å
α = 90.00°, β = 90.00°, γ = 90.00°
Positions (direct):
Zn  0.0965  0.1117  0.0924
Zn  0.0965  0.3883  0.5924
Zn  0.4035  0.6117  0.0924
Zn  0.4035  0.8883  0.5924
Zn  0.5965  0.1117  0.4076
Zn  0.5965  0.3883  0.9076
Zn  0.9035  0.6117  0.4076
Zn  0.9035  0.8883  0.9076
Sb  0.1515  0.1096  0.4322
Sb  0.1515  0.3904  0.9322
Sb  0.3485  0.6096  0.4322
Sb  0.3485  0.8904  0.9322
Sb  0.6515  0.1096  0.0678
Sb  0.6515  0.3904  0.5678
Sb  0.8485  0.6096  0.0678
Sb  0.8485  0.8904  0.5678

Output
Space-group type: Pbca, No. 61
DFT total energy: -0.200 Ry/atom

=====

No. 2
Material: Lu2BeZn
Method: DFT, PBE
State: optimized geometry

a = 4.8496 Å, b = 4.8496 Å, c = 4.8496 Å
α = 60.00°, β = 60.00°, γ = 60.00°
Positions (direct):
Lu  0.0000  0.0000  0.0000
Lu  0.2500  0.2500  0.2500
Be  0.5000  0.5000  0.5000
Zn  0.7500  0.7500  0.7500

Output
Size of the total moment: 0.001 μB per atom
Space-group type: F-43m, No. 216
DFT total energy: -0.234 Ry/atom

=====

No. 3
Material: ScFeSiHg
Method: DFT, PBE
State: optimized geometry

a = 4.5741 Å, b = 4.5741 Å, c = 4.5741 Å
α = 60.00°, β = 60.00°, γ = 60.00°
Positions (direct):
Sc  0.0000  0.0000  0.0000
Fe  0.5000  0.5000  0.5000
Si  0.2500  0.2500  0.2500
Hg  0.7500  0.7500  0.7500

Output
Size of the total moment: 0.562 μB per atom
Excess energy over the best structure of this formula in the dataset: 0.000 eV/atom
Space-group type: F-43m, No. 216

=====

No. 4
Material: Lu2Nb4Cu3C3
Method: DFT, PBE
State: optimized geometry

a = 5.5487 Å, b = 5.5487 Å, c = 13.9241 Å
α = 101.76°, β = 101.76°, γ = 60.13°
Positions (direct):
Lu  0.0405  0.8797  0.6185
Lu  0.1203  0.9595  0.8815
Lu  0.8797  0.0405  0.1185
Lu  0.9595  0.1203  0.3815
Nb  0.1942  0.3544  0.0842
Nb  0.2969  0.4803  0.4158
Nb  0.3544  0.1942  0.5842
Nb  0.4803  0.2969  0.9158
Nb  0.5197  0.7031  0.0842
Nb  0.6456  0.8058  0.4158
Nb  0.7031  0.5197  0.5842
Nb  0.8058  0.6456  0.9158
Cu  0.0864  0.4011  0.7512
Cu  0.4011  0.0864  0.2512
Cu  0.4243  0.5757  0.2500
Cu  0.5757  0.4243  0.7500
Cu  0.5989  0.9136  0.7488
Cu  0.9136  0.5989  0.2488
C  0.0000  0.5000  0.5000
C  0.1697  0.6606  0.0000
C  0.3394  0.8303  0.5000
C  0.5000  0.0000  0.0000
C  0.6606  0.1697  0.5000
C  0.8303  0.3394  0.0000

Output
Size of the total moment: 0.001 μB per atom
Space-group type: C2/c, No. 15
DFT total energy: -0.566 Ry/atom

=====

- What is the formula in the second record?
  Lu2BeZn

=====

What did the third record say?
Material: ScFeSiHg
Method: DFT, PBE
State: optimized geometry

a = 4.5741 Å, b = 4.5741 Å, c = 4.5741 Å
α = 60.00°, β = 60.00°, γ = 60.00°
Positions (direct):
Sc  0.0000  0.0000  0.0000
Fe  0.5000  0.5000  0.5000
Si  0.2500  0.2500  0.2500
Hg  0.7500  0.7500  0.7500

Output
Size of the total moment: 0.562 μB per atom
Excess energy over the best structure of this formula in the dataset: 0.000 eV/atom
Space-group type: F-43m, No. 216